A geometry-optimized Ba4H9Cl structure. Source: the Alexandria database, functional PBE.

Output
Spin magnetization = 0.000 μB/atom
Density of states at the Fermi level = 0.0 states/eV per cell
E = -3.294 eV per atom

Lattice parameters (Å, degrees): 9.251 9.251 9.251 127.14 127.14 78.03
Sites, in units of the cell vectors:
Ba: 0.036 0.536 0.833
Ba: 0.203 0.036 0.500
Ba: 0.297 0.797 0.833
Ba: 0.464 0.297 0.500
Ba: 0.536 0.703 0.500
Ba: 0.703 0.203 0.167
Ba: 0.797 0.964 0.500
Ba: 0.964 0.464 0.167
H: 0.000 0.500 0.500
H: 0.035 0.114 0.149
H: 0.060 0.816 0.500
H: 0.114 0.965 0.079
H: 0.184 0.684 0.244
H: 0.316 0.560 0.500
H: 0.386 0.465 0.851
H: 0.440 0.940 0.756
H: 0.465 0.614 0.079
H: 0.500 0.000 0.500
H: 0.535 0.386 0.921
H: 0.560 0.060 0.244
H: 0.614 0.535 0.149
H: 0.684 0.440 0.500
H: 0.816 0.316 0.756
H: 0.886 0.035 0.921
H: 0.940 0.184 0.500
H: 0.965 0.886 0.851
Cl: 0.250 0.250 0.000
Cl: 0.750 0.750 0.000